! Pu2Si2Rh, relaxed, DFT PBE; values from VASP
! **Uncorrected energy**: -99.88 eV per cell
&SYSTEM
  ibrav = 0, nat = 10, ntyp = 3
/
ATOMIC_SPECIES
Pu 244.00 Pu.upf
Si 28.09 Si.upf
Rh 102.91 Rh.upf
ATOMIC_POSITIONS angstrom
Pu 1.0818 2.1206 0.0000
Pu 2.1206 5.3229 0.0000
Pu 4.2841 1.0818 0.0000
Pu 5.3229 4.2841 0.0000
Si 0.8648 4.0671 2.3024
Si 2.3376 0.8648 2.3024
Si 4.0671 5.5399 2.3024
Si 5.5399 2.3376 2.3024
Rh 0.0000 0.0000 2.3024
Rh 3.2023 3.2023 2.3024
CELL_PARAMETERS angstrom
6.4047 0.0000 0.0000
0.0000 6.4047 0.0000
0.0000 0.0000 4.6047